1.
Here is ZnCd6 after structural relaxation from the Alexandria database. Energies are from PBE.

Values from the calculation:
The total energy is -0.0186 hartree per atom. The formation energy comes out at 0.459 eV per atom.

Cell: 7.0263 7.0263 7.0263 Å, 109.47 109.47 109.47°
Fractional positions:
Cd  0.5000  0.7500  0.2500
Cd  0.7500  0.2500  0.5000
Cd  0.2500  0.5000  0.7500
Cd  0.2500  0.7500  0.5000
Cd  0.7500  0.5000  0.2500
Zn  0.0000  0.0000  0.0000
Cd  0.5000  0.2500  0.7500

---

2.
Here is CaAgBr3 after structural relaxation from the Alexandria database. Energies are from PBE.

Values from the calculation:
The total energy is -0.1032 hartree per atom. As for the uncorrected formation energy: -0.833 eV per atom. The polymorph energy (0 for the lowest one) is 513 meV/atom.

Cell: 5.4033 5.4033 5.4033 Å, 90.00 90.00 90.00°
Fractional positions:
Br  0.0000  0.0000  0.5000
Br  0.0000  0.5000  0.0000
Ca  0.5000  0.5000  0.5000
Br  0.5000  0.0000  0.0000
Ag  0.0000  0.0000  0.0000

---

3.
Here is LiDyZnGe2 after structural relaxation from the Alexandria database. Energies are from PBE.

Values from the calculation:
The total energy is -0.1433 hartree per atom. The formation energy comes out at -0.495 eV per atom.

Cell: 4.0753 4.0753 6.2669 Å, 108.97 108.97 90.00°
Fractional positions:
Ge  0.6118  0.6118  0.2237
Zn  0.2500  0.7500  0.5000
Ge  0.3882  0.3882  0.7763
Li  0.7500  0.2500  0.5000
Dy  0.0000  0.0000  0.0000

---

4.
Here is PuThU after structural relaxation from the Alexandria database. Energies are from PBE.

Values from the calculation:
The total energy is -0.3917 hartree per atom. The polymorph energy (0 for the lowest one) is 108 meV/atom. The formation energy comes out at 0.353 eV per atom.

Cell: 3.5923 10.8833 7.6782 Å, 90.00 90.00 90.00°
Fractional positions:
Th  0.6303  0.8772  0.9188
U  0.9385  0.6424  0.6460
Pu  0.4422  0.6312  0.4336
Pu  0.0578  0.3688  0.9336
Th  0.3697  0.3772  0.5812
Pu  0.9422  0.8688  0.5664
Th  0.8697  0.1228  0.4188
U  0.4385  0.8576  0.3540
U  0.5615  0.3576  0.1460
Th  0.1303  0.6228  0.0812
U  0.0615  0.1424  0.8540
Pu  0.5578  0.1312  0.0664

---

5.
Here is TaTiIr2Os after structural relaxation from the Alexandria database. Energies are from PBE.

Values from the calculation:
The total energy is -0.3153 hartree per atom. The formation energy comes out at 1.159 eV per atom.

Cell: 4.5067 4.4988 4.5067 Å, 90.00 90.00 90.00°
Fractional positions:
Os  0.0000  0.5000  0.0000
Ti  0.0000  0.0000  0.0000
Ta  0.5000  0.5000  0.5000
Ir  0.5000  0.0000  0.0000
Ir  0.0000  0.0000  0.5000

---

6.
Here is Sb2RuPt after structural relaxation from the Alexandria database. Energies are from PBE.

Values from the calculation:
The total energy is -0.2117 hartree per atom. As for the uncorrected formation energy: 0.129 eV per atom. The polymorph energy (0 for the lowest one) is 267 meV/atom.

Cell: 5.9880 5.9880 7.2397 Å, 65.57 65.57 90.00°
Fractional positions:
Pt  0.7500  0.2500  0.5000
Sb  0.6156  0.1250  0.2500
Sb  0.1344  0.6250  0.2500
Sb  0.3750  0.3844  0.7500
Sb  0.8750  0.8656  0.7500
Pt  0.0000  0.0000  0.0000
Ru  0.5000  0.5000  0.0000
Ru  0.2500  0.7500  0.5000

---

7.
Here is BeGeSe2N after structural relaxation from the Alexandria database. Energies are from PBE.

Values from the calculation:
The total energy is -0.1588 hartree per atom. As for the uncorrected formation energy: 0.405 eV per atom. The polymorph energy (0 for the lowest one) is 0 meV/atom.

Cell: 5.1296 5.1296 3.1160 Å, 90.00 90.00 90.00°
Fractional positions:
Se  0.0000  0.5000  0.0000
Se  0.5000  0.0000  0.0000
N  0.0000  0.0000  0.5000
Be  0.0000  0.0000  0.0000
Ge  0.5000  0.5000  0.5000

---

8.
Here is SiIrRh2 after structural relaxation from the Alexandria database. Energies are from PBE.

Values from the calculation:
The total energy is -0.2773 hartree per atom. As for the uncorrected formation energy: -0.299 eV per atom.

Cell: 8.4366 8.4366 8.4366 Å, 18.97 18.97 18.97°
Fractional positions:
Rh  0.9910  0.9910  0.9910
Si  0.2500  0.2500  0.2500
Rh  0.5090  0.5090  0.5090
Ir  0.7500  0.7500  0.7500

---

It is found that the DOS(E_F) values, taken in the order of the records, are 0.72 0.15 0.57 1.60 1.09 0.69 0.77 1.13 states/eV per atom.
It is found that the spin magnetization values, taken in the order of the records, are 0.00 0.00 0.00 0.00 0.00 0.00 0.06 0.17 μB/atom.